(1)
# VTcO2F

VTcO2F after structural relaxation (PBE with a Hubbard U, Alexandria via LeMat-Bulk).

```
data_VTcO2F
_chemical_formula_sum 'V1 Tc1 O2 F1'
_cell_length_a 3.943
_cell_length_b 3.943
_cell_length_c 3.972
_cell_angle_alpha 90.00
_cell_angle_beta 90.00
_cell_angle_gamma 90.00
_space_group_name_H-M_alt 'P 1'
_space_group_IT_number 1
_space_group_name_Hall 'P 1'
loop_
_atom_site_label
_atom_site_fract_x
_atom_site_fract_y
_atom_site_fract_z
_atom_site_occupancy
V1 0.000 0.000 0.000 1
Tc1 0.500 0.500 0.500 1
O1 0.000 0.500 0.000 1
O2 0.500 0.000 0.000 1
F1 0.000 0.000 0.500 1
```

Summary:
space-group type = P4/mmm, No. 123

---

(2)
# TcWOF2

TcWOF2 after structural relaxation (PBE with a Hubbard U, Alexandria via LeMat-Bulk).

```
data_TcWOF2
_chemical_formula_sum 'Tc1 W1 O1 F2'
_cell_length_a 4.255
_cell_length_b 4.255
_cell_length_c 4.233
_cell_angle_alpha 90.00
_cell_angle_beta 90.00
_cell_angle_gamma 90.00
_space_group_name_H-M_alt 'P 1'
_space_group_IT_number 1
_space_group_name_Hall 'P 1'
loop_
_atom_site_label
_atom_site_fract_x
_atom_site_fract_y
_atom_site_fract_z
_atom_site_occupancy
Tc1 0.000 0.000 0.000 1
W1 0.500 0.500 0.500 1
O1 0.500 0.500 0.000 1
F1 0.000 0.500 0.500 1
F2 0.500 0.000 0.500 1
```

Summary:
space-group type = P4/mmm, No. 123
relative energy among the computed polymorphs = 0 meV/atom

---

(3)
# TcWOF2

TcWOF2 after structural relaxation (PBE with a Hubbard U, Alexandria via LeMat-Bulk).

```
data_TcWOF2
_chemical_formula_sum 'Tc1 W1 O1 F2'
_cell_length_a 4.361
_cell_length_b 4.361
_cell_length_c 3.780
_cell_angle_alpha 90.00
_cell_angle_beta 90.00
_cell_angle_gamma 90.00
_space_group_name_H-M_alt 'P 1'
_space_group_IT_number 1
_space_group_name_Hall 'P 1'
loop_
_atom_site_label
_atom_site_fract_x
_atom_site_fract_y
_atom_site_fract_z
_atom_site_occupancy
Tc1 0.000 0.000 0.000 1
W1 0.500 0.500 0.500 1
O1 0.000 0.000 0.500 1
F1 0.000 0.500 0.000 1
F2 0.500 0.000 0.000 1
```

Summary:
space-group type = P4/mmm, No. 123
relative energy among the computed polymorphs = 338 meV/atom

---

(4)
# TcWO2F

TcWO2F after structural relaxation (PBE with a Hubbard U, Alexandria via LeMat-Bulk).

```
data_TcWO2F
_chemical_formula_sum 'Tc1 W1 O2 F1'
_cell_length_a 3.766
_cell_length_b 3.766
_cell_length_c 5.292
_cell_angle_alpha 90.00
_cell_angle_beta 90.00
_cell_angle_gamma 90.00
_space_group_name_H-M_alt 'P 1'
_space_group_IT_number 1
_space_group_name_Hall 'P 1'
loop_
_atom_site_label
_atom_site_fract_x
_atom_site_fract_y
_atom_site_fract_z
_atom_site_occupancy
Tc1 0.000 0.000 0.000 1
W1 0.500 0.500 0.500 1
O1 0.000 0.500 0.000 1
O2 0.500 0.000 0.000 1
F1 0.000 0.000 0.500 1
```

Summary:
space-group type = P4/mmm, No. 123

---

Result set for theoretical density: 5.38 7.28 7.76 7.37 g/cm³, one per record in the order listed.
Result set for DFT total energy: -34.665 -29.802 -28.111 -31.978 eV/f.u., one per record in the order listed.